No. 1
Computed, not measured: a relaxed BaRhIO6 crystal at the PBE level of DFT.

## Properties
**V**: 143.2 Å³/f.u.
**Total magnetic moment**: 0.000 μB per cell

a = 5.3162 Å, b = 5.3162 Å, c = 5.8501 Å
α = 90.00°, β = 90.00°, γ = 120.00°
Space group P312 (No. 149)
One atom of each set of equivalent atoms:
Ba: 0.0000 0.0000 0.0000 x1
Rh: 0.3333 0.6667 0.5000 x1
I: 0.6667 0.3333 0.5000 x1
O: 0.3808 0.0134 0.6874 x6

***

No. 2
Computed, not measured: a relaxed Ba8Rh3I4O crystal at the PBE level of DFT.

## Properties
**V**: 601.9 Å³/f.u.
**Total magnetic moment**: 0.000 μB per cell

a = 9.0250 Å, b = 9.0250 Å, c = 25.6003 Å
α = 90.00°, β = 90.00°, γ = 120.00°
Space group R-3m (No. 166, hexagonal axes)
One atom of each set of equivalent atoms:
Ba: 0.0000 0.0000 0.2355 x6
Ba: 0.0137 0.5068 0.2283 x18
Rh: 0.0000 0.5000 0.5000 x9
I: 0.0000 0.0000 0.0000 x3
I: 0.0000 0.5000 0.0000 x9
O: 0.0000 0.0000 0.5000 x3

***

No. 3
Computed, not measured: a relaxed BaRuI2O crystal at the PBE level of DFT.

## Properties
**V**: 134.1 Å³/f.u.
**Excess energy over the best structure of this formula in the dataset**: 0 meV/atom
**Total magnetic moment**: 0.313 μB per cell

a = 5.877 Å, b = 5.877 Å, c = 3.882 Å
α = 90.00°, β = 90.00°, γ = 90.00°
Space group P4/mmm (No. 123)
One atom of each set of equivalent atoms:
Ba: 0.000 0.000 0.000 x1
Ru: 0.500 0.500 0.500 x1
I: 0.000 0.500 0.500 x2
O: 0.500 0.500 0.000 x1

***

No. 4
Computed, not measured: a relaxed BaRuIO2 crystal at the PBE level of DFT.

## Properties
**V**: 103.2 Å³/f.u.
**Excess energy over the best structure of this formula in the dataset**: 0 meV/atom
**Total magnetic moment**: 2.204 μB per cell

a = 4.426 Å, b = 4.426 Å, c = 5.266 Å
α = 90.00°, β = 90.00°, γ = 90.00°
Space group P4/mmm (No. 123)
One atom of each set of equivalent atoms:
Ba: 0.000 0.000 0.000 x1
Ru: 0.500 0.500 0.500 x1
I: 0.500 0.500 0.000 x1
O: 0.000 0.500 0.500 x2

***

No. 5
Computed, not measured: a relaxed BaRuIO2 crystal at the PBE level of DFT.

## Properties
**V**: 146.5 Å³/f.u.
**Excess energy over the best structure of this formula in the dataset**: 1007 meV/atom
**Total magnetic moment**: 2.863 μB per cell

a = 4.461 Å, b = 4.461 Å, c = 7.361 Å
α = 90.00°, β = 90.00°, γ = 90.00°
Space group P4/mmm (No. 123)
One atom of each set of equivalent atoms:
Ba: 0.000 0.000 0.000 x1
Ru: 0.500 0.500 0.500 x1
I: 0.000 0.000 0.500 x1
O: 0.000 0.500 0.000 x2

***

No. 6
Computed, not measured: a relaxed BaRuIO6 crystal at the PBE level of DFT.

## Properties
**V**: 145.8 Å³/f.u.
**Total magnetic moment**: 1.004 μB per cell

a = 5.3825 Å, b = 5.3825 Å, c = 5.8123 Å
α = 90.00°, β = 90.00°, γ = 120.00°
Space group P312 (No. 149)
One atom of each set of equivalent atoms:
Ba: 0.0000 0.0000 0.0000 x1
Ru: 0.3333 0.6667 0.5000 x1
I: 0.6667 0.3333 0.5000 x1
O: 0.0010 0.3778 0.6900 x6

***

No. 7
Computed, not measured: a relaxed BaRuI2O crystal at the PBE level of DFT.

## Properties
**V**: 200.7 Å³/f.u.
**Excess energy over the best structure of this formula in the dataset**: 1057 meV/atom
**Total magnetic moment**: 3.214 μB per cell

a = 6.694 Å, b = 6.694 Å, c = 4.478 Å
α = 90.00°, β = 90.00°, γ = 90.00°
Space group P4/mmm (No. 123)
One atom of each set of equivalent atoms:
Ba: 0.000 0.000 0.000 x1
Ru: 0.500 0.500 0.500 x1
I: 0.000 0.500 0.000 x2
O: 0.000 0.000 0.500 x1

***

No. 8
Computed, not measured: a relaxed BaSIO2 crystal at the PBE level of DFT.

## Properties
**V**: 163.5 Å³/f.u.
**Total magnetic moment**: 0.000 μB per cell

a = 4.425 Å, b = 4.425 Å, c = 8.352 Å
α = 90.00°, β = 90.00°, γ = 90.00°
Space group P4/mmm (No. 123)
One atom of each set of equivalent atoms:
Ba: 0.000 0.000 0.000 x1
S: 0.500 0.500 0.500 x1
I: 0.000 0.000 0.500 x1
O: 0.000 0.500 0.000 x2

***

No. 9
Computed, not measured: a relaxed BaSIO2 crystal at the PBE level of DFT.

## Properties
**V**: 104.9 Å³/f.u.
**Total magnetic moment**: 0.000 μB per cell

a = 4.580 Å, b = 4.580 Å, c = 4.999 Å
α = 90.00°, β = 90.00°, γ = 90.00°
Space group P4/mmm (No. 123)
One atom of each set of equivalent atoms:
Ba: 0.000 0.000 0.000 x1
S: 0.500 0.500 0.500 x1
I: 0.500 0.500 0.000 x1
O: 0.000 0.500 0.500 x2

***

No. 10
Computed, not measured: a relaxed BaSIO4 crystal at the PBE level of DFT.

## Properties
**V**: 141.8 Å³/f.u.
**Total magnetic moment**: 0.000 μB per cell

a = 12.758 Å, b = 6.643 Å, c = 6.930 Å
α = 90.00°, β = 105.01°, γ = 90.00°
Space group C2/m (No. 12)
One atom of each set of equivalent atoms:
Ba: 0.172 0.000 0.261 x4
S: 0.162 0.000 0.752 x4
I: 0.018 0.500 0.200 x4
O: 0.057 0.000 0.808 x4
O: 0.171 0.182 0.628 x8
O: 0.248 0.500 0.062 x4

***

No. 11
Computed, not measured: a relaxed BaSbI2O crystal at the PBE level of DFT.

## Properties
**V**: 205.3 Å³/f.u.
**Excess energy over the best structure of this formula in the dataset**: 539 meV/atom
**Total magnetic moment**: 1.481 μB per cell

a = 6.775 Å, b = 6.775 Å, c = 4.472 Å
α = 90.00°, β = 90.00°, γ = 90.00°
Space group P4/mmm (No. 123)
One atom of each set of equivalent atoms:
Ba: 0.000 0.000 0.000 x1
Sb: 0.500 0.500 0.500 x1
I: 0.000 0.500 0.000 x2
O: 0.000 0.000 0.500 x1

***

No. 12
Computed, not measured: a relaxed BaSbI2O crystal at the PBE level of DFT.

## Properties
**V**: 174.3 Å³/f.u.
**Excess energy over the best structure of this formula in the dataset**: 0 meV/atom
**Total magnetic moment**: 0.284 μB per cell

a = 6.427 Å, b = 6.427 Å, c = 4.220 Å
α = 90.00°, β = 90.00°, γ = 90.00°
Space group P4/mmm (No. 123)
One atom of each set of equivalent atoms:
Ba: 0.000 0.000 0.000 x1
Sb: 0.500 0.500 0.500 x1
I: 0.000 0.500 0.500 x2
O: 0.500 0.500 0.000 x1

***

No. 13
Computed, not measured: a relaxed Ba7Sb2IO2 crystal at the PBE level of DFT.

## Properties
**V**: 430.1 Å³/f.u.
**Total magnetic moment**: 0.000 μB per cell

a = 7.777 Å, b = 7.778 Å, c = 14.738 Å
α = 90.00°, β = 105.21°, γ = 90.00°
Space group C2/m (No. 12)
One atom of each set of equivalent atoms:
Ba: 0.000 0.000 0.000 x2
Ba: 0.152 0.250 0.804 x8
Ba: 0.199 0.000 0.400 x4
Sb: 0.176 0.500 0.353 x4
I: 0.000 0.500 0.000 x2
O: 0.097 0.000 0.193 x4

***

No. 14
Computed, not measured: a relaxed Ba2SbIO6 crystal at the PBE level of DFT.

## Properties
**V**: 171.0 Å³/f.u.
**Total magnetic moment**: 0.000 μB per cell

a = 11.704 Å, b = 5.717 Å, c = 5.491 Å
α = 90.00°, β = 111.43°, γ = 90.00°
Space group C2/m (No. 12)
One atom of each set of equivalent atoms:
Ba: 0.238 0.000 0.223 x4
Sb: 0.000 0.500 0.000 x2
I: 0.000 0.000 0.500 x2
O: 0.066 0.251 0.809 x8
O: 0.170 0.500 0.257 x4

***

No. 15
Computed, not measured: a relaxed BaSbI2O crystal at the PBE level of DFT.

## Properties
**V**: 170.8 Å³/f.u.
**Excess energy over the best structure of this formula in the dataset**: 179 meV/atom
**Total magnetic moment**: 0.000 μB per cell

a = 6.443 Å, b = 6.443 Å, c = 4.115 Å
α = 90.00°, β = 90.00°, γ = 90.00°
Space group P4/mmm (No. 123)
One atom of each set of equivalent atoms:
Ba: 0.000 0.000 0.000 x1
Sb: 0.500 0.500 0.000 x1
I: 0.000 0.500 0.500 x2
O: 0.500 0.500 0.500 x1

***

No. 16
Computed, not measured: a relaxed Ba2ScIO6 crystal at the PBE level of DFT.

## Properties
**V**: 160.6 Å³/f.u.
**Total magnetic moment**: 0.000 μB per cell

a = 6.0507 Å, b = 6.0507 Å, c = 30.3840 Å
α = 90.00°, β = 90.00°, γ = 120.00°
Space group R-3m (No. 166, hexagonal axes)
One atom of each set of equivalent atoms:
Ba: 0.0000 0.0000 0.1287 x6
Ba: 0.0000 0.0000 0.2793 x6
Sc: 0.0000 0.0000 0.4050 x6
I: 0.0000 0.0000 0.0000 x3
I: 0.0000 0.0000 0.5000 x3
O: 0.0089 0.5044 0.7073 x18
O: 0.0206 0.5103 0.1227 x18

***

No. 17
Computed, not measured: a relaxed BaSc2IO8 crystal at the PBE level of DFT.

## Properties
**V**: 168.7 Å³/f.u.
**Total magnetic moment**: 1.005 μB per cell

a = 4.851 Å, b = 7.175 Å, c = 4.852 Å
α = 90.00°, β = 92.12°, γ = 90.00°
Space group P2/m (No. 10)
One atom of each set of equivalent atoms:
Ba: 0.000 0.000 0.000 x1
Sc: 0.500 0.265 0.500 x2
I: 0.000 0.500 0.000 x1
O: 0.206 0.311 0.187 x4
O: 0.267 0.500 0.713 x2
O: 0.322 0.000 0.605 x2

***

No. 18
Computed, not measured: a relaxed BaScIO2 crystal at the PBE level of DFT.

## Properties
**V**: 146.1 Å³/f.u.
**Excess energy over the best structure of this formula in the dataset**: 1433 meV/atom
**Total magnetic moment**: 0.528 μB per cell

a = 4.716 Å, b = 4.716 Å, c = 6.566 Å
α = 90.00°, β = 90.00°, γ = 90.00°
Space group P4/mmm (No. 123)
One atom of each set of equivalent atoms:
Ba: 0.000 0.000 0.000 x1
Sc: 0.500 0.500 0.500 x1
I: 0.000 0.000 0.500 x1
O: 0.000 0.500 0.000 x2

***

No. 19
Computed, not measured: a relaxed BaScIO2 crystal at the PBE level of DFT.

## Properties
**V**: 110.4 Å³/f.u.
**Excess energy over the best structure of this formula in the dataset**: 0 meV/atom
**Total magnetic moment**: 0.000 μB per cell

a = 4.469 Å, b = 4.469 Å, c = 5.530 Å
α = 90.00°, β = 90.00°, γ = 90.00°
Space group P4/mmm (No. 123)
One atom of each set of equivalent atoms:
Ba: 0.000 0.000 0.000 x1
Sc: 0.500 0.500 0.500 x1
I: 0.500 0.500 0.000 x1
O: 0.000 0.500 0.500 x2

***

No. 20
Computed, not measured: a relaxed BaSeIO2 crystal at the PBE level of DFT.

## Properties
**V**: 166.3 Å³/f.u.
**Excess energy over the best structure of this formula in the dataset**: 412 meV/atom
**Total magnetic moment**: 0.000 μB per cell

a = 4.464 Å, b = 4.464 Å, c = 8.345 Å
α = 90.00°, β = 90.00°, γ = 90.00°
Space group P4/mmm (No. 123)
One atom of each set of equivalent atoms:
Ba: 0.000 0.000 0.000 x1
Se: 0.500 0.500 0.500 x1
I: 0.000 0.000 0.500 x1
O: 0.000 0.500 0.000 x2

***

no.,formation energy without anion corrections (eV/atom)
1,-1.146
2,-1.072
3,-0.813
4,-0.683
5,0.324
6,-1.169
7,0.243
8,-0.041
9,-0.415
10,-1.793
11,-0.383
12,-0.922
13,-1.382
14,-1.758
15,-0.743
16,-2.114
17,-1.916
18,-0.511
19,-1.943
20,-0.189